Record 1
Entry from the Alexandria database: an optimized crystal structure of ZnCd2Co (GGA-PBE).

Results
ΔE_f	0.209	eV/atom
total DFT energy (no corrections)	-2.344	eV/atom

Cell: 4.1307 4.1307 3.8616 Å, 90.00 90.00 90.00°
Closest atoms and distances in Å follow each position.
Fractional coordinates of all 4 atoms:
Zn 0.0000 0.0000 0.0000  8 Cd 2.83, 4 Co 2.92
Cd 0.0000 0.5000 0.5000  4 Co 2.83, 4 Zn 2.83, 4 Cd 2.92
Cd 0.5000 0.0000 0.5000  4 Co 2.83, 4 Zn 2.83, 4 Cd 2.92
Co 0.5000 0.5000 0.0000  8 Cd 2.83, 4 Zn 2.92

***

Record 2
Entry from the Alexandria database: an optimized crystal structure of Rb2ScTaAu (GGA-PBE).

Results
ΔE_f	1.309	eV/atom
total DFT energy (no corrections)	-3.371	eV/atom

Cell: 6.2791 6.2791 5.2983 Å, 90.00 90.00 90.00°
Closest atoms and distances in Å follow each position.
Fractional coordinates of all 5 atoms:
Rb 0.0000 0.5000 0.0000  2 Au 3.14
Rb 0.5000 0.0000 0.0000  2 Au 3.14
Sc 0.0000 0.0000 0.5000  8 Rb 4.11, 4 Ta 4.44
Ta 0.5000 0.5000 0.5000  2 Au 2.65
Au 0.5000 0.5000 0.0000  2 Ta 2.65

***

Record 3
Entry from the Alexandria database: an optimized crystal structure of SrMnTcS2 (GGA-PBE).

Results
total DFT energy (no corrections)	-3.737	eV/atom

Cell: 5.2996 5.2996 4.7149 Å, 90.00 90.00 90.00°
Closest atoms and distances in Å follow each position.
Fractional coordinates of all 5 atoms:
Sr 0.0000 0.0000 0.0000  2 Mn 2.36
Mn 0.0000 0.0000 0.5000  2 Sr 2.36
Tc 0.5000 0.5000 0.5000  8 S 3.55, 4 Mn 3.75
S 0.0000 0.5000 0.0000  2 Sr 2.65
S 0.5000 0.0000 0.0000  2 Sr 2.65

***

Record 4
Entry from the Alexandria database: an optimized crystal structure of HgAs2SeCl (GGA-PBE).

Results
total DFT energy (no corrections)	-2.032	eV/atom

Cell: 5.3263 5.3263 5.1867 Å, 90.00 90.00 90.00°
Closest atoms and distances in Å follow each position.
Fractional coordinates of all 5 atoms:
Hg 0.0000 0.0000 0.0000  2 Se 2.59, 4 As 2.66
As 0.0000 0.5000 0.0000  2 Hg 2.66
As 0.5000 0.0000 0.0000  2 Hg 2.66
Se 0.0000 0.0000 0.5000  2 Hg 2.59
Cl 0.5000 0.5000 0.5000  8 As 3.72, 4 Se 3.77